This record from the Alexandria database describes SrErCr2O8 after structural relaxation. The functional is GGA+U.

Cell lengths 6.095, 6.095, 6.095 Å; angles 105.93, 105.93, 116.82 degrees
Fractional coordinates of all 12 atoms:
Sr  0.000  0.000  0.000
Er  0.250  0.750  0.500
Cr  0.750  0.250  0.500
Cr  0.500  0.500  0.000
O  0.410  0.083  0.327
O  0.342  0.535  0.193
O  0.342  0.149  0.807
O  0.757  0.083  0.673
O  0.851  0.658  0.193
O  0.917  0.243  0.327
O  0.917  0.590  0.673
O  0.465  0.658  0.807

Computed properties:
Total DFT energy (no corrections)   -86.4 eV per cell